(1)
The following is a PBE calculation of a geometry-optimized Tb3TmSe4 structure, from the Alexandria database.

Cell and atoms, written as CIF:
```
data_Tb3TmSe4
_space_group_name_H-M_alt 'P 1 2/c 1'
_space_group_IT_number 13
_space_group_name_Hall '-P 2yc'
_cell_length_a 7.1056
_cell_length_b 8.0681
_cell_length_c 7.0708
_cell_angle_alpha 90.00
_cell_angle_beta 109.22
_cell_angle_gamma 90.00
loop_
_atom_site_label
_atom_site_type_symbol
_atom_site_fract_x
_atom_site_fract_y
_atom_site_fract_z
_atom_site_occupancy
Tb1 Tb 0.0000 0.1233 0.2500 1
Tb2 Tb 0.0000 0.3736 0.7500 1
Tb3 Tb 0.5000 0.1238 0.7500 1
Tm1 Tm 0.5000 0.3735 0.2500 1
Se1 Se 0.2526 0.1279 0.0029 1
Se2 Se 0.2553 0.3779 0.4997 1
```

Calculated values
E, eV/atom: -5.784
Energy above the lowest structure with this stoichiometry, eV/f.u.: 0.00
Fermi-level density of states, states/eV/cell: 7.008
Raw formation energy, eV per atom: -1.747
Total magnetization, μB/atom: 0.0000



(2)
The following is a PBE calculation of a geometry-optimized TbTm4Se5 structure, from the Alexandria database.

Cell and atoms, written as CIF:
```
data_TbTm4Se5
_space_group_name_H-M_alt 'C 1 2/m 1'
_space_group_IT_number 12
_space_group_name_Hall '-C 2y'
_cell_length_a 13.3980
_cell_length_b 4.0365
_cell_length_c 9.8420
_cell_angle_alpha 90.00
_cell_angle_beta 119.50
_cell_angle_gamma 90.00
loop_
_atom_site_label
_atom_site_type_symbol
_atom_site_fract_x
_atom_site_fract_y
_atom_site_fract_z
_atom_site_occupancy
Tb1 Tb 0.0000 0.0000 0.0000 1
Tm1 Tm 0.0989 0.5000 0.3966 1
Tm2 Tm 0.2029 0.0000 0.8003 1
Se1 Se 0.0000 0.0000 0.5000 1
Se2 Se 0.1032 0.5000 0.8974 1
Se3 Se 0.2024 0.0000 0.3049 1
```

Calculated values
E, eV/atom: -5.676
Energy above the lowest structure with this stoichiometry, eV/f.u.: 0.00
Fermi-level density of states, states/eV/cell: 9.130
Raw formation energy, eV per atom: -1.682
Total magnetization, μB/atom: 0.0000



(3)
The following is a PBE calculation of a geometry-optimized TbTmSe2 structure, from the Alexandria database.

Cell and atoms, written as CIF:
```
data_TbTmSe2
_space_group_name_H-M_alt 'P m n 21'
_space_group_IT_number 31
_space_group_name_Hall 'P 2ac -2'
_cell_length_a 4.2327
_cell_length_b 9.1518
_cell_length_c 6.3767
_cell_angle_alpha 90.00
_cell_angle_beta 90.00
_cell_angle_gamma 90.00
loop_
_atom_site_label
_atom_site_type_symbol
_atom_site_fract_x
_atom_site_fract_y
_atom_site_fract_z
_atom_site_occupancy
Tb1 Tb 0.0000 0.1661 0.0000 1
Tm1 Tm 0.0000 0.5828 0.1355 1
Se1 Se 0.0000 0.3317 0.3665 1
Se2 Se 0.0000 0.8993 0.2379 1
```

Calculated values
E, eV/atom: -5.376
Energy above the lowest structure with this stoichiometry, eV/f.u.: 1.44
Fermi-level density of states, states/eV/cell: 1.855
Raw formation energy, eV per atom: -1.359
Total magnetization, μB/atom: 0.0000



(4)
The following is a PBE calculation of a geometry-optimized Tb4TmSe7 structure, from the Alexandria database.

Cell and atoms, written as CIF:
```
data_Tb4TmSe7
_space_group_name_H-M_alt 'C 1 m 1'
_space_group_IT_number 8
_space_group_name_Hall 'C -2y'
_cell_length_a 13.3931
_cell_length_b 3.9752
_cell_length_c 12.2036
_cell_angle_alpha 90.00
_cell_angle_beta 104.56
_cell_angle_gamma 90.00
loop_
_atom_site_label
_atom_site_type_symbol
_atom_site_fract_x
_atom_site_fract_y
_atom_site_fract_z
_atom_site_occupancy
Tb1 Tb 0.0000 0.0000 0.0000 1
Tb2 Tb 0.0876 0.5000 0.3879 1
Tb3 Tb 0.1874 0.0000 0.7657 1
Tb4 Tb 0.3872 0.5000 0.5755 1
Tm1 Tm 0.2747 0.5000 0.1543 1
Se1 Se 0.0475 0.5000 0.6271 1
Se2 Se 0.1303 0.5000 0.9310 1
Se3 Se 0.1495 0.0000 0.2242 1
Se4 Se 0.2268 0.0000 0.5261 1
Se5 Se 0.3482 0.5000 0.7922 1
Se6 Se 0.3854 0.0000 0.0786 1
Se7 Se 0.4259 0.5000 0.3584 1
```

Calculated values
E, eV/atom: -5.814
Fermi-level density of states, states/eV/cell: 3.228
Raw formation energy, eV per atom: -1.865
Total magnetization, μB/atom: 0.0000



(5)
The following is a PBE calculation of a geometry-optimized Tb3Tm2Se6 structure, from the Alexandria database.

Cell and atoms, written as CIF:
```
data_Tb3Tm2Se6
_space_group_name_H-M_alt 'R -3 m'
_space_group_IT_number 166
_space_group_name_Hall '-R 3 2"'
_cell_length_a 4.0871
_cell_length_b 4.0871
_cell_length_c 60.9139
_cell_angle_alpha 90.00
_cell_angle_beta 90.00
_cell_angle_gamma 120.00
loop_
_atom_site_label
_atom_site_type_symbol
_atom_site_fract_x
_atom_site_fract_y
_atom_site_fract_z
_atom_site_occupancy
Tb1 Tb 0.0000 0.0000 0.0000 1
Tb2 Tb 0.0000 0.0000 0.2793 1
Tm1 Tm 0.0000 0.0000 0.4464 1
Se1 Se 0.0000 0.0000 0.0830 1
Se2 Se 0.0000 0.0000 0.1978 1
Se3 Se 0.0000 0.0000 0.3607 1
```

Calculated values
E, eV/atom: -5.755
Energy above the lowest structure with this stoichiometry, eV/f.u.: 0.75
Fermi-level density of states, states/eV/cell: 13.831
Raw formation energy, eV per atom: -1.779
Total magnetization, μB/atom: 0.0000



(6)
The following is a PBE calculation of a geometry-optimized Tb3TmSe4 structure, from the Alexandria database.

Cell and atoms, written as CIF:
```
data_Tb3TmSe4
_space_group_name_H-M_alt 'P m -3 m'
_space_group_IT_number 221
_space_group_name_Hall '-P 4 2 3'
_cell_length_a 5.7660
_cell_length_b 5.7660
_cell_length_c 5.7660
_cell_angle_alpha 90.00
_cell_angle_beta 90.00
_cell_angle_gamma 90.00
loop_
_atom_site_label
_atom_site_type_symbol
_atom_site_fract_x
_atom_site_fract_y
_atom_site_fract_z
_atom_site_occupancy
Tb1 Tb 0.0000 0.0000 0.5000 1
Tm1 Tm 0.5000 0.5000 0.5000 1
Se1 Se 0.0000 0.0000 0.0000 1
Se2 Se 0.0000 0.5000 0.5000 1
```

Calculated values
E, eV/atom: -5.768
Energy above the lowest structure with this stoichiometry, eV/f.u.: 0.13
Fermi-level density of states, states/eV/cell: 5.079
Raw formation energy, eV per atom: -1.730
Total magnetization, μB/atom: 0.0000



(7)
The following is a PBE calculation of a geometry-optimized TbYTm2Se4 structure, from the Alexandria database.

Cell and atoms, written as CIF:
```
data_TbYTm2Se4
_space_group_name_H-M_alt 'P 1 2/m 1'
_space_group_IT_number 10
_space_group_name_Hall '-P 2y'
_cell_length_a 6.9870
_cell_length_b 3.9990
_cell_length_c 7.1227
_cell_angle_alpha 90.00
_cell_angle_beta 108.79
_cell_angle_gamma 90.00
loop_
_atom_site_label
_atom_site_type_symbol
_atom_site_fract_x
_atom_site_fract_y
_atom_site_fract_z
_atom_site_occupancy
Tb1 Tb 0.0000 0.0000 0.0000 1
Y1 Y 0.5000 0.5000 0.0000 1
Tm1 Tm 0.0000 0.5000 0.5000 1
Tm2 Tm 0.5000 0.0000 0.5000 1
Se1 Se 0.2478 0.0000 0.7426 1
Se2 Se 0.2530 0.5000 0.2577 1
```

Calculated values
E, eV/atom: -5.961
Fermi-level density of states, states/eV/cell: 4.438
Raw formation energy, eV per atom: -1.714
Total magnetization, μB/atom: 0.0000



(8)
The following is a PBE calculation of a geometry-optimized Tb2YTmSe6 structure, from the Alexandria database.

Cell and atoms, written as CIF:
```
data_Tb2YTmSe6
_space_group_name_H-M_alt 'R 3'
_space_group_IT_number 146
_space_group_name_Hall 'R 3'
_cell_length_a 7.1993
_cell_length_b 7.1993
_cell_length_c 19.4324
_cell_angle_alpha 90.00
_cell_angle_beta 90.00
_cell_angle_gamma 120.00
loop_
_atom_site_label
_atom_site_type_symbol
_atom_site_fract_x
_atom_site_fract_y
_atom_site_fract_z
_atom_site_occupancy
Tb1 Tb 0.0000 0.0000 0.0000 1
Tb2 Tb 0.0000 0.0000 0.4994 1
Y1 Y 0.0000 0.0000 0.1961 1
Tm1 Tm 0.0000 0.0000 0.6952 1
Se1 Se 0.0303 0.6741 0.7652 1
Se2 Se 0.0321 0.3618 0.2660 1
```

Calculated values
E, eV/atom: -5.964
Fermi-level density of states, states/eV/cell: 0.000
Raw formation energy, eV per atom: -1.853
Total magnetization, μB/atom: 0.0000



(9)
The following is a PBE calculation of a geometry-optimized Tb3YTm3Se8 structure, from the Alexandria database.

Cell and atoms, written as CIF:
```
data_Tb3YTm3Se8
_space_group_name_H-M_alt 'R -3 m'
_space_group_IT_number 166
_space_group_name_Hall '-R 3 2"'
_cell_length_a 8.0816
_cell_length_b 8.0816
_cell_length_c 19.8415
_cell_angle_alpha 90.00
_cell_angle_beta 90.00
_cell_angle_gamma 120.00
loop_
_atom_site_label
_atom_site_type_symbol
_atom_site_fract_x
_atom_site_fract_y
_atom_site_fract_z
_atom_site_occupancy
Tb1 Tb 0.0000 0.5000 0.0000 1
Y1 Y 0.0000 0.0000 0.5000 1
Tm1 Tm 0.0000 0.5000 0.5000 1
Se1 Se 0.0000 0.0000 0.2477 1
Se2 Se 0.0097 0.5048 0.7501 1
```

Calculated values
E, eV/atom: -5.927
Fermi-level density of states, states/eV/cell: 18.123
Raw formation energy, eV per atom: -1.817
Total magnetization, μB/atom: 0.0000



(10)
The following is a PBE calculation of a geometry-optimized TbY3Tm3Se8 structure, from the Alexandria database.

Cell and atoms, written as CIF:
```
data_TbY3Tm3Se8
_space_group_name_H-M_alt 'R -3 m'
_space_group_IT_number 166
_space_group_name_Hall '-R 3 2"'
_cell_length_a 8.0776
_cell_length_b 8.0776
_cell_length_c 19.8067
_cell_angle_alpha 90.00
_cell_angle_beta 90.00
_cell_angle_gamma 120.00
loop_
_atom_site_label
_atom_site_type_symbol
_atom_site_fract_x
_atom_site_fract_y
_atom_site_fract_z
_atom_site_occupancy
Tb1 Tb 0.0000 0.0000 0.0000 1
Y1 Y 0.0000 0.5000 0.5000 1
Tm1 Tm 0.0000 0.5000 0.0000 1
Se1 Se 0.0000 0.0000 0.2520 1
Se2 Se 0.0103 0.5051 0.2497 1
```

Calculated values
E, eV/atom: -6.168
Fermi-level density of states, states/eV/cell: 18.370
Raw formation energy, eV per atom: -1.814
Total magnetization, μB/atom: 0.0000